Record 1
SmTmSb | PBE | relaxed

* E_tot: -0.19162 hartree per atom
* calculated density: 8.50 Mg/m³

a = 4.499 Å, b = 4.493 Å, c = 8.528 Å
α = 90.00°, β = 89.98°, γ = 90.00°
Positions (direct):
Sb 0.426 0.000 0.068
Sb 0.927 0.500 0.506
Tm 0.427 0.000 0.437
Tm 0.426 0.500 0.783
Sm 0.926 0.500 0.138
Sm 0.926 0.000 0.785

Record 2
SmTmSb | PBE | relaxed

* E_tot: -0.19257 hartree per atom
* calculated density: 8.54 Mg/m³

a = 4.494 Å, b = 4.494 Å, c = 9.067 Å
α = 104.35°, β = 104.35°, γ = 90.00°
Positions (direct):
Sb 0.634 0.634 0.268
Sb 0.366 0.366 0.732
Sm 0.823 0.823 0.646
Sm 0.177 0.177 0.354
Tm 0.000 0.500 0.000
Tm 0.500 0.000 0.000

Record 3
Sm2TmSb | PBE | relaxed

* E_tot: -0.18385 hartree per atom
* calculated density: 8.73 Mg/m³

a = 4.862 Å, b = 4.810 Å, c = 4.810 Å
α = 90.00°, β = 90.00°, γ = 90.00°
Positions (direct):
Sm 0.000 0.500 0.000
Sm 0.000 0.000 0.500
Sb 0.500 0.500 0.500
Tm 0.500 0.000 0.000

Record 4
Sm3Tm2Sb3 | PBE | relaxed

* E_tot: -0.19700 hartree per atom
* calculated density: 8.48 Mg/m³

a = 6.366 Å, b = 9.052 Å, c = 9.052 Å
α = 120.00°, β = 90.00°, γ = 90.00°
Positions (direct):
Sb 0.250 0.393 0.000
Sb 0.250 0.607 0.607
Sb 0.750 0.393 0.393
Sb 0.750 0.000 0.607
Sb 0.250 0.000 0.393
Sb 0.750 0.607 0.000
Tm 0.500 0.333 0.667
Tm 0.000 0.667 0.333
Tm 0.500 0.667 0.333
Tm 0.000 0.333 0.667
Sm 0.250 0.000 0.752
Sm 0.750 0.248 0.000
Sm 0.250 0.248 0.248
Sm 0.750 0.752 0.752
Sm 0.750 0.000 0.248
Sm 0.250 0.752 0.000

Record 5
Sm3Tm4Sb4 | PBE | relaxed

* E_tot: -0.19054 hartree per atom
* calculated density: 8.34 Mg/m³

a = 4.181 Å, b = 9.228 Å, c = 9.747 Å
α = 118.25°, β = 102.38°, γ = 90.00°
Positions (direct):
Sm 0.106 0.106 0.211
Sm 0.894 0.894 0.789
Sm 0.000 0.500 0.000
Tm 0.671 0.479 0.343
Tm 0.329 0.521 0.657
Tm 0.329 0.137 0.657
Tm 0.671 0.863 0.343
Sb 0.500 0.792 0.000
Sb 0.500 0.208 0.000
Sb 0.749 0.249 0.497
Sb 0.251 0.751 0.503

Record 6
SmTmSb | PBE | relaxed

* E_tot: -0.18489 hartree per atom
* calculated density: 7.84 Mg/m³

a = 4.244 Å, b = 10.775 Å, c = 8.444 Å
α = 90.79°, β = 104.56°, γ = 90.00°
Positions (direct):
Tm 0.243 0.663 0.485
Tm 0.195 0.082 0.391
Tm 0.805 0.918 0.609
Tm 0.757 0.337 0.515
Sb 0.413 0.831 0.826
Sb 0.380 0.446 0.760
Sb 0.620 0.554 0.240
Sb 0.587 0.169 0.174
Sm 0.400 0.144 0.801
Sm 0.600 0.856 0.199
Sm 0.966 0.640 0.932
Sm 0.034 0.360 0.068

Record 7
Sm3TmSb3 | PBE | relaxed

* E_tot: -0.19985 hartree per atom
* calculated density: 8.08 Mg/m³

a = 9.320 Å, b = 9.320 Å, c = 9.320 Å
α = 90.00°, β = 90.00°, γ = 90.00°
Positions (direct):
Sm 0.824 0.324 0.176
Sm 0.679 0.321 0.821
Sm 0.432 0.568 0.068
Sm 0.932 0.932 0.932
Sm 0.568 0.068 0.432
Sm 0.321 0.821 0.679
Sm 0.821 0.679 0.321
Sm 0.324 0.176 0.824
Sm 0.676 0.676 0.676
Sm 0.179 0.179 0.179
Sm 0.176 0.824 0.324
Sm 0.068 0.432 0.568
Sb 0.756 0.628 0.998
Sb 0.256 0.872 0.002
Sb 0.502 0.244 0.128
Sb 0.128 0.502 0.244
Sb 0.998 0.756 0.628
Sb 0.372 0.498 0.744
Sb 0.744 0.372 0.498
Sb 0.872 0.002 0.256
Sb 0.002 0.256 0.872
Sb 0.498 0.744 0.372
Sb 0.244 0.128 0.502
Sb 0.628 0.998 0.756
Tm 0.927 0.073 0.573
Tm 0.573 0.927 0.073
Tm 0.427 0.427 0.427
Tm 0.073 0.573 0.927

Record 8
Sm2TmSb4 | PBE | relaxed

* E_tot: -0.19015 hartree per atom
* calculated density: 7.35 Mg/m³

a = 4.320 Å, b = 4.320 Å, c = 11.584 Å
α = 90.00°, β = 90.00°, γ = 90.00°
Positions (direct):
Sb 0.500 0.500 0.500
Sb 0.500 0.000 0.179
Sb 0.000 0.500 0.821
Sb 0.000 0.000 0.500
Tm 0.500 0.500 0.000
Sm 0.000 0.500 0.289
Sm 0.500 0.000 0.711

Record 9
SmTm2Sb | PBE | relaxed

* E_tot: -0.18503 hartree per atom
* calculated density: 8.67 Mg/m³

a = 4.571 Å, b = 4.550 Å, c = 11.471 Å
α = 90.00°, β = 101.50°, γ = 90.00°
Positions (direct):
Tm 0.559 0.250 0.119
Tm 0.940 0.250 0.880
Tm 0.060 0.750 0.120
Tm 0.441 0.750 0.881
Sb 0.164 0.250 0.326
Sb 0.836 0.750 0.674
Sm 0.306 0.250 0.612
Sm 0.694 0.750 0.388

Record 10
SmTmSb | PBE | relaxed

* E_tot: -0.17917 hartree per atom
* calculated density: 8.17 Mg/m³

a = 4.048 Å, b = 5.057 Å, c = 5.057 Å
α = 120.00°, β = 90.00°, γ = 90.00°
Positions (direct):
Tm 0.102 0.000 0.000
Sm 0.627 0.667 0.333
Sb 0.272 0.333 0.667

Record 11
SmTmSb | PBE | relaxed

* E_tot: -0.18590 hartree per atom
* calculated density: 8.60 Mg/m³

a = 3.986 Å, b = 3.986 Å, c = 6.056 Å
α = 109.21°, β = 109.21°, γ = 90.00°
Site moments in Bohr magnetons follow the coordinates.
Positions (direct):
Sm 0.940 0.940 0.880  0.22
Tm 0.634 0.634 0.267  0.34
Sb 0.276 0.276 0.553  0.00

Record 12
Sm4TmSb5 | PBE | relaxed

* E_tot: -0.20384 hartree per atom
* calculated density: 7.37 Mg/m³

a = 4.447 Å, b = 4.447 Å, c = 16.018 Å
α = 97.98°, β = 97.98°, γ = 90.00°
Positions (direct):
Tm 0.000 0.000 0.000
Sb 0.700 0.700 0.400
Sb 0.300 0.300 0.600
Sb 0.902 0.902 0.804
Sb 0.098 0.098 0.196
Sb 0.500 0.500 0.000
Sm 0.199 0.199 0.398
Sm 0.801 0.801 0.602
Sm 0.600 0.600 0.199
Sm 0.400 0.400 0.801

Number 1: formation energy (no corrections) -0.7765 eV per atom, Fermi-level density of states 4.436 states/eV per cell. Number 2: formation energy (no corrections) -0.8024 eV per atom, Fermi-level density of states 9.044 states/eV per cell. Number 3: formation energy (no corrections) -0.4947 eV per atom, Fermi-level density of states 4.287 states/eV per cell. Number 4: formation energy (no corrections) -0.9273 eV per atom, Fermi-level density of states 15.112 states/eV per cell. Number 5: formation energy (no corrections) -0.7728 eV per atom, Fermi-level density of states 11.491 states/eV per cell. Number 6: formation energy (no corrections) -0.5934 eV per atom, Fermi-level density of states 14.543 states/eV per cell. Number 7: formation energy (no corrections) -1.0101 eV per atom, Fermi-level density of states 27.717 states/eV per cell. Number 8: formation energy (no corrections) -0.8315 eV per atom, Fermi-level density of states 2.232 states/eV per cell. Number 9: formation energy (no corrections) -0.5888 eV per atom, Fermi-level density of states 10.410 states/eV per cell. Number 10: formation energy (no corrections) -0.4379 eV per atom, Fermi-level density of states 3.014 states/eV per cell. Number 11: formation energy (no corrections) -0.6208 eV per atom, Fermi-level density of states 2.394 states/eV per cell. Number 12: formation energy (no corrections) -1.1508 eV per atom, Fermi-level density of states 1.172 states/eV per cell.